1.
Compound: ReGeCl2
Source: Alexandria via LeMat-Bulk
Functional: PBE-GGA
Structure: optimized geometry

Unit cell a=4.656 b=4.656 c=4.656 alpha=60.00 beta=60.00 gamma=60.00
Site moments in Bohr magnetons follow the coordinates.
Fractional coordinates of all 4 atoms:
1 Ge 0.000 0.000 0.000  -0.03
2 Cl 0.750 0.750 0.750  0.06
3 Cl 0.250 0.250 0.250  0.06
4 Re 0.500 0.500 0.500  2.26

Output
As for the formation energy from raw total energies: 1.083 eV per atom. The space group is Fm-3m. Its calculated volume is 71 Å³ per cell. As for the total magnetization: 2.68 μB per formula unit.



2.
Compound: ReGe3Cl
Source: Alexandria via LeMat-Bulk
Functional: PBE-GGA
Structure: optimized geometry

Unit cell a=4.780 b=4.780 c=4.780 alpha=90.00 beta=90.00 gamma=90.00
Site moments in Bohr magnetons follow the coordinates.
Fractional coordinates of all 5 atoms:
1 Ge 0.000 0.000 0.500  -0.05
2 Ge 0.500 0.000 0.000  0.02
3 Ge 0.000 0.500 0.000  -0.06
4 Re 0.500 0.500 0.500  2.55
5 Cl 0.000 0.000 0.000  -0.01

Output
The energy above the most stable polymorph in this dataset is 1.614 eV/atom. As for the formation energy from raw total energies: 1.533 eV per atom. The space group is Pm-3m. Its calculated volume is 109 Å³ per cell. As for the total magnetization: 2.87 μB per formula unit.